Entry 1:
Computed, not measured: crystalline TiB2Os at its relaxed geometry at the PBE-GGA level of DFT.

- Energy relative to the elements: -8.3 kJ per mole of atoms
- Crystal system: cubic
- Calculated total energy: -8.21 eV/atom
- Energy above the lowest structure with this stoichiometry: 0.000 eV per atom

The structure in CIF format:
```
data_TiB2Os
_cell_length_a 5.4847
_cell_length_b 5.4847
_cell_length_c 5.4847
_cell_angle_alpha 90.00
_cell_angle_beta 90.00
_cell_angle_gamma 90.00
_symmetry_space_group_name_H-M 'F m -3 m'
_symmetry_Int_Tables_number 225
_symmetry_space_group_name_Hall '-F 4 2 3'
loop_
_atom_site_label
_atom_site_fract_x
_atom_site_fract_y
_atom_site_fract_z
Ti1 0.0000 0.0000 0.0000
B1 0.2500 0.2500 0.2500
Os1 0.0000 0.0000 0.5000
```

=====

Entry 2:
Computed, not measured: crystalline LaZr2In at its relaxed geometry at the PBE-GGA level of DFT.

- Energy relative to the elements: 0.7 kJ per mole of atoms
- Crystal system: tetragonal
- Calculated total energy: -6.18 eV/atom

The structure in CIF format:
```
data_LaZr2In
_cell_length_a 5.3354
_cell_length_b 5.3354
_cell_length_c 3.4498
_cell_angle_alpha 90.00
_cell_angle_beta 90.00
_cell_angle_gamma 90.00
_symmetry_space_group_name_H-M 'P 4/m m m'
_symmetry_Int_Tables_number 123
_symmetry_space_group_name_Hall '-P 4 2'
loop_
_atom_site_label
_atom_site_fract_x
_atom_site_fract_y
_atom_site_fract_z
La1 0.0000 0.0000 0.0000
Zr1 0.0000 0.5000 0.5000
In1 0.5000 0.5000 0.0000
```

=====

Entry 3:
Computed, not measured: crystalline Sc2InH at its relaxed geometry at the PBE-GGA level of DFT.

- Crystal system: trigonal
- Calculated total energy: -4.71 eV/atom
- Energy above the lowest structure with this stoichiometry: 0.409 eV per atom

The structure in CIF format:
```
data_Sc2InH
_cell_length_a 3.4168
_cell_length_b 3.4168
_cell_length_c 25.1439
_cell_angle_alpha 90.00
_cell_angle_beta 90.00
_cell_angle_gamma 120.00
_symmetry_space_group_name_H-M 'R -3 m'
_symmetry_Int_Tables_number 166
_symmetry_space_group_name_Hall '-R 3 2"'
loop_
_atom_site_label
_atom_site_fract_x
_atom_site_fract_y
_atom_site_fract_z
Sc1 0.0000 0.0000 0.0734
In1 0.0000 0.0000 0.5000
H1 0.0000 0.0000 0.0000
```

=====

Entry 4:
Computed, not measured: crystalline SrCa2BiN at its relaxed geometry at the PBE-GGA level of DFT.

- Crystal system: tetragonal
- Calculated total energy: -4.53 eV/atom

The structure in CIF format:
```
data_SrCa2BiN
_cell_length_a 4.9550
_cell_length_b 4.9550
_cell_length_c 5.2201
_cell_angle_alpha 90.00
_cell_angle_beta 90.00
_cell_angle_gamma 90.00
_symmetry_space_group_name_H-M 'P 4/m m m'
_symmetry_Int_Tables_number 123
_symmetry_space_group_name_Hall '-P 4 2'
loop_
_atom_site_label
_atom_site_fract_x
_atom_site_fract_y
_atom_site_fract_z
Sr1 0.0000 0.0000 0.0000
Ca1 0.0000 0.5000 0.5000
Bi1 0.5000 0.5000 0.0000
N1 0.0000 0.0000 0.5000
```

=====

Entry 5:
Computed, not measured: crystalline Mg3HgS at its relaxed geometry at the PBE-GGA level of DFT.

- Crystal system: cubic
- Calculated total energy: -2.10 eV/atom
- Energy above the lowest structure with this stoichiometry: 0.000 eV per atom

The structure in CIF format:
```
data_Mg3HgS
_cell_length_a 4.8524
_cell_length_b 4.8524
_cell_length_c 4.8524
_cell_angle_alpha 90.00
_cell_angle_beta 90.00
_cell_angle_gamma 90.00
_symmetry_space_group_name_H-M 'P m -3 m'
_symmetry_Int_Tables_number 221
_symmetry_space_group_name_Hall '-P 4 2 3'
loop_
_atom_site_label
_atom_site_fract_x
_atom_site_fract_y
_atom_site_fract_z
Mg1 0.0000 0.0000 0.5000
Hg1 0.5000 0.5000 0.5000
S1 0.0000 0.0000 0.0000
```

=====

Entry 6:
Computed, not measured: crystalline AgBiRhO4 at its relaxed geometry at the PBE-GGA level of DFT.

- Crystal system: orthorhombic
- Calculated total energy: -5.55 eV/atom

The structure in CIF format:
```
data_AgBiRhO4
_cell_length_a 6.3111
_cell_length_b 7.0331
_cell_length_c 9.3063
_cell_angle_alpha 90.00
_cell_angle_beta 90.00
_cell_angle_gamma 90.00
_symmetry_space_group_name_H-M 'I m m a'
_symmetry_Int_Tables_number 74
_symmetry_space_group_name_Hall '-I 2b 2'
loop_
_atom_site_label
_atom_site_fract_x
_atom_site_fract_y
_atom_site_fract_z
Ag1 0.0000 0.2500 0.1503
Bi1 0.0000 0.0000 0.5000
Rh1 0.2500 0.2500 0.7500
O1 0.0000 0.0589 0.7466
O2 0.2366 0.2500 0.5295
```

=====

Entry 7:
Computed, not measured: crystalline Be2IrBrF at its relaxed geometry at the PBE-GGA level of DFT.

- Crystal system: tetragonal
- Calculated total energy: -2.56 eV/atom

The structure in CIF format:
```
data_Be2IrBrF
_cell_length_a 4.5404
_cell_length_b 4.5404
_cell_length_c 4.5577
_cell_angle_alpha 90.00
_cell_angle_beta 90.00
_cell_angle_gamma 90.00
_symmetry_space_group_name_H-M 'P 4/m m m'
_symmetry_Int_Tables_number 123
_symmetry_space_group_name_Hall '-P 4 2'
loop_
_atom_site_label
_atom_site_fract_x
_atom_site_fract_y
_atom_site_fract_z
Be1 0.0000 0.5000 0.0000
Ir1 0.0000 0.0000 0.5000
Br1 0.0000 0.0000 0.0000
F1 0.5000 0.5000 0.5000
```

=====

Entry 8:
Computed, not measured: crystalline Tb2ThZr at its relaxed geometry at the PBE-GGA level of DFT.

- Energy relative to the elements: 29.2 kJ per mole of atoms
- Crystal system: trigonal
- Calculated total energy: -6.00 eV/atom
- Energy above the lowest structure with this stoichiometry: 0.227 eV per atom

The structure in CIF format:
```
data_Tb2ThZr
_cell_length_a 3.4052
_cell_length_b 3.4052
_cell_length_c 35.7768
_cell_angle_alpha 90.00
_cell_angle_beta 90.00
_cell_angle_gamma 120.00
_symmetry_space_group_name_H-M 'R -3 m'
_symmetry_Int_Tables_number 166
_symmetry_space_group_name_Hall '-R 3 2"'
loop_
_atom_site_label
_atom_site_fract_x
_atom_site_fract_y
_atom_site_fract_z
Tb1 0.0000 0.0000 0.0874
Th1 0.0000 0.0000 0.5000
Zr1 0.0000 0.0000 0.0000
```

=====

Entry 9:
Computed, not measured: crystalline CuPtBr2 at its relaxed geometry at the PBE-GGA level of DFT.

- Crystal system: tetragonal
- Calculated total energy: -2.81 eV/atom
- Energy above the lowest structure with this stoichiometry: 0.518 eV per atom

The structure in CIF format:
```
data_CuPtBr2
_cell_length_a 4.7492
_cell_length_b 4.7492
_cell_length_c 3.3917
_cell_angle_alpha 90.00
_cell_angle_beta 90.00
_cell_angle_gamma 90.00
_symmetry_space_group_name_H-M 'P 4/m m m'
_symmetry_Int_Tables_number 123
_symmetry_space_group_name_Hall '-P 4 2'
loop_
_atom_site_label
_atom_site_fract_x
_atom_site_fract_y
_atom_site_fract_z
Cu1 0.0000 0.0000 0.0000
Pt1 0.5000 0.5000 0.0000
Br1 0.0000 0.5000 0.5000
```

=====

Entry 10:
Computed, not measured: crystalline HfSc3Co at its relaxed geometry at the PBE-GGA level of DFT.

- Energy relative to the elements: -8.8 kJ per mole of atoms
- Crystal system: monoclinic
- Calculated total energy: -7.30 eV/atom
- Energy above the lowest structure with this stoichiometry: 0.000 eV per atom

The structure in CIF format:
```
data_HfSc3Co
_cell_length_a 10.5057
_cell_length_b 7.8665
_cell_length_c 7.3036
_cell_angle_alpha 90.00
_cell_angle_beta 133.92
_cell_angle_gamma 90.00
_symmetry_space_group_name_H-M 'C 1 2/m 1'
_symmetry_Int_Tables_number 12
loop_
_symmetry_equiv_pos_as_xyz
'x,y,z'
'-x,-y,-z'
'-x,y,-z'
'x,-y,z'
'x+1/2,y+1/2,z'
'-x+1/2,-y+1/2,-z'
'-x+1/2,y+1/2,-z'
'x+1/2,-y+1/2,z'
loop_
_atom_site_label
_atom_site_fract_x
_atom_site_fract_y
_atom_site_fract_z
Hf1 0.0546 0.0000 0.2609
Sc1 0.0483 0.5000 0.3325
Sc2 0.2420 0.1988 0.7813
Co1 0.2459 0.0000 0.1350
```

=====

Entry 11:
Computed, not measured: crystalline GeB2Pt6 at its relaxed geometry at the PBE-GGA level of DFT.

- Energy relative to the elements: -18.5 kJ per mole of atoms
- Crystal system: monoclinic
- Calculated total energy: -6.22 eV/atom

The structure in CIF format:
```
data_GeB2Pt6
_cell_length_a 17.8457
_cell_length_b 5.5359
_cell_length_c 5.5141
_cell_angle_alpha 90.00
_cell_angle_beta 102.04
_cell_angle_gamma 90.00
_symmetry_space_group_name_H-M 'C 1 2/c 1'
_symmetry_Int_Tables_number 15
loop_
_symmetry_equiv_pos_as_xyz
'x,y,z'
'-x,-y,-z'
'-x,y,-z+1/2'
'x,-y,z+1/2'
'x+1/2,y+1/2,z'
'-x+1/2,-y+1/2,-z'
'-x+1/2,y+1/2,-z+1/2'
'x+1/2,-y+1/2,z+1/2'
loop_
_atom_site_label
_atom_site_fract_x
_atom_site_fract_y
_atom_site_fract_z
Ge1 0.0000 0.2032 0.2500
B1 0.2078 0.1590 0.1805
Pt1 0.0669 0.4045 0.6557
Pt2 0.1291 0.0209 0.3821
Pt3 0.2070 0.4948 0.5191
```

=====

Entry 12:
Computed, not measured: crystalline Ba2Sb4RhAu3 at its relaxed geometry at the PBE-GGA level of DFT.

- Crystal system: tetragonal
- Calculated total energy: -4.34 eV/atom

The structure in CIF format:
```
data_Ba2Sb4RhAu3
_cell_length_a 4.8816
_cell_length_b 4.8816
_cell_length_c 11.1522
_cell_angle_alpha 90.00
_cell_angle_beta 90.00
_cell_angle_gamma 90.00
_symmetry_space_group_name_H-M 'P -4 m 2'
_symmetry_Int_Tables_number 115
loop_
_symmetry_equiv_pos_as_xyz
'x,y,z'
'y,-x,-z'
'-x,-y,z'
'-y,x,-z'
'-x,y,z'
'-y,-x,-z'
'x,-y,z'
'y,x,-z'
loop_
_atom_site_label
_atom_site_fract_x
_atom_site_fract_y
_atom_site_fract_z
Ba1 0.0000 0.5000 0.2417
Sb1 0.0000 0.0000 0.5000
Sb2 0.0000 0.5000 0.8838
Sb3 0.5000 0.5000 0.5000
Rh1 0.5000 0.5000 0.0000
Au1 0.0000 0.0000 0.0000
Au2 0.0000 0.5000 0.6364
```

=====

| no. | total magnetization (μB per cell) |
| --- | --- |
| 1 | 0.000 |
| 2 | 0.000 |
| 3 | 2.135 |
| 4 | 0.000 |
| 5 | 0.000 |
| 6 | 0.000 |
| 7 | 0.000 |
| 8 | 0.000 |
| 9 | 0.000 |
| 10 | 0.000 |
| 11 | 0.000 |
| 12 | 0.000 |